Arrangement w

# Ba2ZnCuHg | Alexandria via LeMat-Bulk | GGA-PBE | optimized geometry
# DOS(E_F)	4.06	states/eV/cell
data_Ba2ZnCuHg
_chemical_formula_sum 'Ba2 Zn1 Cu1 Hg1'
_cell_length_a 6.5128
_cell_length_b 6.5128
_cell_length_c 4.9332
_cell_angle_alpha 90.00
_cell_angle_beta 90.00
_cell_angle_gamma 90.00
_space_group_name_H-M_alt 'P 4/m m m'
_space_group_IT_number 123
_space_group_name_Hall '-P 4 2'
loop_
_atom_site_label
_atom_site_type_symbol
_atom_site_fract_x
_atom_site_fract_y
_atom_site_fract_z
_atom_site_occupancy
Ba1 Ba 0.0000 0.5000 0.0000 1
Zn1 Zn 0.0000 0.0000 0.5000 1
Cu1 Cu 0.5000 0.5000 0.5000 1
Hg1 Hg 0.0000 0.0000 0.0000 1

Arrangement x

# Ba2ZnCuHg | Alexandria via LeMat-Bulk | GGA-PBE | optimized geometry
# DOS(E_F)	2.93	states/eV/cell
data_Ba2ZnCuHg
_chemical_formula_sum 'Ba2 Zn1 Cu1 Hg1'
_cell_length_a 6.1371
_cell_length_b 6.1371
_cell_length_c 4.6963
_cell_angle_alpha 90.00
_cell_angle_beta 90.00
_cell_angle_gamma 90.00
_space_group_name_H-M_alt 'P 4/m m m'
_space_group_IT_number 123
_space_group_name_Hall '-P 4 2'
loop_
_atom_site_label
_atom_site_type_symbol
_atom_site_fract_x
_atom_site_fract_y
_atom_site_fract_z
_atom_site_occupancy
Ba1 Ba 0.0000 0.5000 0.0000 1
Zn1 Zn 0.0000 0.0000 0.5000 1
Cu1 Cu 0.0000 0.0000 0.0000 1
Hg1 Hg 0.5000 0.5000 0.5000 1

What should be chosen as the least stable of them? Choose arrangement w.

Arrangement w

# BaHo2CuO5 | Alexandria via LeMat-Bulk | GGA-PBE | optimized geometry
# DOS(E_F)	22.12	states/eV/cell
data_BaHo2CuO5
_chemical_formula_sum 'Ba4 Ho8 Cu4 O20'
_cell_length_a 6.5159
_cell_length_b 6.5159
_cell_length_c 11.5995
_cell_angle_alpha 90.00
_cell_angle_beta 90.00
_cell_angle_gamma 90.00
_space_group_name_H-M_alt 'I 4/m c m'
_space_group_IT_number 140
_space_group_name_Hall '-I 4 2c'
loop_
_atom_site_label
_atom_site_type_symbol
_atom_site_fract_x
_atom_site_fract_y
_atom_site_fract_z
_atom_site_occupancy
Ba1 Ba 0.0000 0.0000 0.2500 1
Ho1 Ho 0.1729 0.3271 0.0000 1
Cu1 Cu 0.0000 0.5000 0.2500 1
O1 O 0.0000 0.0000 0.0000 1
O2 O 0.1417 0.3583 0.3765 1

Arrangement x

# BaHo2CuO5 | Alexandria via LeMat-Bulk | GGA-PBE | optimized geometry
# DOS(E_F)	1.19	states/eV/cell
data_BaHo2CuO5
_chemical_formula_sum 'Ba4 Ho8 Cu4 O20'
_cell_length_a 12.2178
_cell_length_b 5.6881
_cell_length_c 7.2051
_cell_angle_alpha 90.00
_cell_angle_beta 90.00
_cell_angle_gamma 90.00
_space_group_name_H-M_alt 'P n m a'
_space_group_IT_number 62
loop_
_space_group_symop_operation_xyz
'x,y,z'
'-x,-y,-z'
'-x+1/2,-y,z+1/2'
'x+1/2,y,-z+1/2'
'x+1/2,-y+1/2,-z+1/2'
'-x+1/2,y+1/2,z+1/2'
'-x,y+1/2,-z'
'x,-y+1/2,z'
loop_
_atom_site_label
_atom_site_type_symbol
_atom_site_fract_x
_atom_site_fract_y
_atom_site_fract_z
_atom_site_occupancy
Ba1 Ba 0.0958 0.2500 0.0688 1
Ho1 Ho 0.0739 0.7500 0.3968 1
Ho2 Ho 0.2130 0.2500 0.6133 1
Cu1 Cu 0.1606 0.7500 0.7819 1
O1 O 0.0680 0.5050 0.6609 1
O2 O 0.1002 0.7500 0.0853 1
O3 O 0.2281 0.0031 0.3563 1

What should be chosen as the least stable of them? Choose arrangement w.

Arrangement w

# BaCu3I | Alexandria via LeMat-Bulk | GGA-PBE | optimized geometry
# DOS(E_F)	1.83	states/eV/cell
data_BaCu3I
_chemical_formula_sum 'Ba1 Cu3 I1'
_cell_length_a 5.1984
_cell_length_b 5.1984
_cell_length_c 5.1984
_cell_angle_alpha 90.00
_cell_angle_beta 90.00
_cell_angle_gamma 90.00
_space_group_name_H-M_alt 'P m -3 m'
_space_group_IT_number 221
_space_group_name_Hall '-P 4 2 3'
loop_
_atom_site_label
_atom_site_type_symbol
_atom_site_fract_x
_atom_site_fract_y
_atom_site_fract_z
_atom_site_occupancy
Ba1 Ba 0.0000 0.0000 0.0000 1
Cu1 Cu 0.0000 0.5000 0.5000 1
I1 I 0.5000 0.5000 0.5000 1

Arrangement x

# BaCu3I | Alexandria via LeMat-Bulk | GGA-PBE | optimized geometry
# DOS(E_F)	6.99	states/eV/cell
data_BaCu3I
_chemical_formula_sum 'Ba1 Cu3 I1'
_cell_length_a 5.7037
_cell_length_b 5.7037
_cell_length_c 5.7037
_cell_angle_alpha 90.00
_cell_angle_beta 90.00
_cell_angle_gamma 90.00
_space_group_name_H-M_alt 'P m -3 m'
_space_group_IT_number 221
_space_group_name_Hall '-P 4 2 3'
loop_
_atom_site_label
_atom_site_type_symbol
_atom_site_fract_x
_atom_site_fract_y
_atom_site_fract_z
_atom_site_occupancy
Ba1 Ba 0.0000 0.0000 0.0000 1
Cu1 Cu 0.0000 0.0000 0.5000 1
I1 I 0.5000 0.5000 0.5000 1

What should be chosen as the least stable of them? Choose arrangement x.

Arrangement w

# BaCuI2 | Alexandria via LeMat-Bulk | GGA-PBE | optimized geometry
# DOS(E_F)	1.73	states/eV/cell
data_BaCuI2
_chemical_formula_sum 'Ba3 Cu3 I6'
_cell_length_a 4.3636
_cell_length_b 4.3636
_cell_length_c 28.9782
_cell_angle_alpha 90.00
_cell_angle_beta 90.00
_cell_angle_gamma 120.00
_space_group_name_H-M_alt 'R -3 m'
_space_group_IT_number 166
_space_group_name_Hall '-R 3 2"'
loop_
_atom_site_label
_atom_site_type_symbol
_atom_site_fract_x
_atom_site_fract_y
_atom_site_fract_z
_atom_site_occupancy
Ba1 Ba 0.0000 0.0000 0.0000 1
Cu1 Cu 0.0000 0.0000 0.5000 1
I1 I 0.0000 0.0000 0.1151 1

Arrangement x

# BaCuI2 | Alexandria via LeMat-Bulk | GGA-PBE | optimized geometry
# DOS(E_F)	9.89	states/eV/cell
data_BaCuI2
_chemical_formula_sum 'Ba4 Cu4 I8'
_cell_length_a 8.4134
_cell_length_b 8.4134
_cell_length_c 7.7102
_cell_angle_alpha 90.00
_cell_angle_beta 90.00
_cell_angle_gamma 90.00
_space_group_name_H-M_alt 'I -4 2 d'
_space_group_IT_number 122
_space_group_name_Hall 'I -4 2bw'
loop_
_atom_site_label
_atom_site_type_symbol
_atom_site_fract_x
_atom_site_fract_y
_atom_site_fract_z
_atom_site_occupancy
Ba1 Ba 0.0000 0.0000 0.0000 1
Cu1 Cu 0.0000 0.0000 0.5000 1
I1 I 0.1690 0.2500 0.6250 1

What should be chosen as the least stable of them? Choose arrangement w.